Density functional theory data (PBE) for a geometry-optimized Pr6NdY2Ho3 structure.

Lattice parameters (Å, degrees): 6.328 6.328 11.950 95.05 95.05 120.00
Fractional coordinates of all 12 atoms:
Pr1 0.249 0.249 0.747
Pr2 0.582 0.916 0.747
Pr3 0.916 0.582 0.747
Pr4 0.751 0.751 0.253
Pr5 0.418 0.084 0.253
Pr6 0.084 0.418 0.253
Y1 0.333 0.667 0.000
Y2 0.667 0.333 0.000
Ho1 0.833 0.167 0.500
Ho2 0.500 0.500 0.500
Ho3 0.167 0.833 0.500
Nd1 0.000 0.000 0.000

Values from the calculation:
VASP energy = -4.998 eV/atom
Size of the total moment = 0.00 μB/f.u.
SG = C2/m (12)